VASP calculation (PBE) on crystalline K2MoRh at its relaxed geometry.

* DOS at the Fermi energy: 3.85 states/eV/f.u.
* calculated formation energy: 1163.1 meV/atom
* magnetic moment: 0.4 μB per cell

abc: 11.872 11.872 11.872
angles: 13.99 13.99 13.99
Site moments in Bohr magnetons follow the coordinates.
Fractional coordinates of all 4 atoms:
Mo 0.250 0.250 0.250  0.17
K 0.494 0.494 0.494  0.00
K 0.006 0.006 0.006  0.00
Rh 0.750 0.750 0.750  0.19


VASP calculation (PBE) on crystalline GeSb2TeI at its relaxed geometry.

* DOS at the Fermi energy: 7.91 states/eV/f.u.
* uncorrected formation energy: 927 meV/atom
* magnetic moment: 0.2 μB per cell

abc: 5.824 5.824 5.763
angles: 90.00 90.00 90.00
Fractional coordinates of all 5 atoms:
I 0.000 0.000 0.500
Te 0.000 0.000 0.000
Ge 0.500 0.500 0.500
Sb 0.000 0.500 0.000
Sb 0.500 0.000 0.000


VASP calculation (PBE) on crystalline PrPaCo at its relaxed geometry.

* DOS at the Fermi energy: 3.25 states/eV/f.u.
* calculated formation energy: -16.7 meV/atom
* magnetic moment: 0.0 μB per cell

abc: 3.624 3.624 6.389
angles: 90.00 90.00 120.00
Fractional coordinates of all 3 atoms:
Pa 0.667 0.333 0.410
Co 0.333 0.667 0.631
Pr 0.000 0.000 0.959


VASP calculation (PBE) on crystalline Cd2SnPd4 at its relaxed geometry.

* DOS at the Fermi energy: 3.17 states/eV/f.u.
* calculated formation energy: -306.0 meV/atom
* magnetic moment: 0.0 μB per cell

abc: 7.140 7.122 7.111
angles: 120.84 117.66 91.52
Fractional coordinates of all 14 atoms:
Pd 0.261 0.039 0.642
Pd 0.397 0.619 0.359
Pd 0.718 0.115 0.797
Pd 0.535 0.834 0.898
Pd 0.990 0.131 0.277
Pd 0.316 0.918 0.203
Pd 0.934 0.636 0.104
Pd 0.853 0.712 0.723
Cd 0.738 0.872 0.362
Cd 0.118 0.430 0.805
Cd 0.626 0.319 0.190
Cd 0.509 0.376 0.637
Sn 0.105 0.603 0.502
Sn 0.149 0.147 0.001